# PBE BeCu2, optimized geometry
# E_form	-1	kJ/mol of formula units
# crystal system	monoclinic
# M_tot	0.000	μB/atom
# total DFT energy (no corrections)	-23.85	eV for the cell shown
# space group	Cm, No. 8
data_BeCu2
_space_group_name_H-M_alt 'P 1'
_space_group_IT_number 1
_cell_length_a 4.5605
_cell_length_b 4.5605
_cell_length_c 5.8803
_cell_angle_alpha 73.83
_cell_angle_beta 73.83
_cell_angle_gamma 33.25
loop_
_space_group_symop_operation_xyz
'x,y,z'
loop_
_atom_site_label
_atom_site_type_symbol
_atom_site_fract_x
_atom_site_fract_y
_atom_site_fract_z
Cu1 Cu 0.6430 0.6430 0.7003
Cu2 Cu 0.3091 0.3091 0.9357
Cu3 Cu 0.6218 0.6218 0.2563
Cu4 Cu 0.9360 0.9360 0.5710
Be1 Be 0.3245 0.3245 0.3365
Be2 Be 0.9990 0.9990 0.0335